1.
VASP calculation (PBE) on crystalline Cr2As at its relaxed geometry.

Cell and atoms, written as POSCAR:
```
Cr2As
1.0
3.559 0.000 0.000
0.000 3.559 0.000
0.000 0.000 6.316
Cr As
4 2
Direct
0.250 0.250 0.167 Cr
0.250 0.750 0.500 Cr
0.750 0.250 0.500 Cr
0.750 0.750 0.833 Cr
0.250 0.250 0.781 As
0.750 0.750 0.219 As
```

The total energy comes out at -48.18 eV/cell. The value obtained for the density of states at the Fermi level is 0.588 states/eV/atom. As for the space group: P4/nmm. As for the formation energy: -0.065 eV per atom.

2.
VASP calculation (PBE) on crystalline Cr2As at its relaxed geometry.

Cell and atoms, written as POSCAR:
```
Cr2As
1.0
0.000 3.424 3.424
3.424 0.000 3.424
3.424 3.424 0.000
Cr As
4 2
Direct
0.000 0.000 0.000 Cr
0.000 0.000 0.500 Cr
0.000 0.500 0.000 Cr
0.500 0.000 0.000 Cr
0.375 0.375 0.375 As
0.625 0.625 0.625 As
```

The total energy comes out at -45.55 eV/cell. The value obtained for the density of states at the Fermi level is 1.059 states/eV/atom. As for the space group: Fd-3m. As for the formation energy: 0.374 eV per atom.

3.
VASP calculation (PBE) on crystalline CrAs at its relaxed geometry.

Cell and atoms, written as POSCAR:
```
CrAs
1.0
5.721 0.000 0.000
0.000 4.055 0.000
0.000 0.000 4.888
Cr As
4 4
Direct
0.023 0.250 0.146 Cr
0.477 0.750 0.646 Cr
0.523 0.250 0.354 Cr
0.977 0.750 0.854 Cr
0.166 0.250 0.627 As
0.334 0.750 0.127 As
0.666 0.250 0.873 As
0.834 0.750 0.373 As
```

The total energy comes out at -57.09 eV/cell. The value obtained for the density of states at the Fermi level is 0.869 states/eV/atom. As for the space group: Pnma. As for the formation energy: 0.000 eV per atom.

4.
VASP calculation (PBE) on crystalline CrAs at its relaxed geometry.

Cell and atoms, written as POSCAR:
```
CrAs
1.0
2.999 0.000 0.000
0.000 5.333 3.152
0.000 -5.333 3.152
Cr As
3 3
Direct
0.000 0.000 0.000 Cr
0.500 0.245 0.868 Cr
0.500 0.868 0.245 Cr
0.000 0.574 0.903 As
0.000 0.903 0.574 As
0.500 0.308 0.308 As
```

The total energy comes out at -42.55 eV/cell. The value obtained for the density of states at the Fermi level is 0.683 states/eV/atom. As for the space group: Amm2. As for the formation energy: 0.045 eV per atom.

5.
VASP calculation (PBE) on crystalline CrAs5 at its relaxed geometry.

Cell and atoms, written as POSCAR:
```
CrAs5
1.0
0.000 3.908 3.908
3.908 0.000 3.908
3.908 3.908 0.000
Cr As
1 5
Direct
0.000 0.000 0.000 Cr
0.123 0.626 0.626 As
0.250 0.250 0.250 As
0.626 0.123 0.626 As
0.626 0.626 0.123 As
0.626 0.626 0.626 As
```

The total energy comes out at -29.07 eV/cell. The value obtained for the density of states at the Fermi level is 0.627 states/eV/atom. The energy above the most stable polymorph in this dataset is 455 meV/atom. As for the space group: F-43m. As for the formation energy: 0.634 eV per atom.

6.
VASP calculation (PBE) on crystalline Cr6As7 at its relaxed geometry.

Cell and atoms, written as POSCAR:
```
Cr6As7
1.0
2.657 1.534 10.066
-2.657 1.534 10.066
0.000 -3.068 10.066
Cr As
6 7
Direct
0.044 0.044 0.044 Cr
0.188 0.188 0.188 Cr
0.334 0.334 0.334 Cr
0.666 0.666 0.666 Cr
0.812 0.812 0.812 Cr
0.956 0.956 0.956 Cr
0.069 0.571 0.571 As
0.429 0.429 0.931 As
0.429 0.931 0.429 As
0.500 0.500 0.500 As
0.571 0.069 0.571 As
0.571 0.571 0.069 As
0.931 0.429 0.429 As
```

The total energy comes out at -83.37 eV/cell. The value obtained for the density of states at the Fermi level is 0.816 states/eV/atom. As for the space group: R-3m. As for the formation energy: 0.532 eV per atom.

7.
VASP calculation (PBE) on crystalline CrAs at its relaxed geometry.

Cell and atoms, written as POSCAR:
```
CrAs
1.0
9.589 0.000 0.000
-4.795 8.305 0.000
0.000 0.000 3.040
Cr As
6 6
Direct
0.077 0.470 0.250 Cr
0.393 0.923 0.250 Cr
0.470 0.393 0.750 Cr
0.530 0.607 0.250 Cr
0.607 0.077 0.750 Cr
0.923 0.530 0.750 Cr
0.105 0.735 0.250 As
0.265 0.370 0.250 As
0.370 0.105 0.750 As
0.630 0.895 0.250 As
0.735 0.630 0.750 As
0.895 0.265 0.750 As
```

The total energy comes out at -82.22 eV/cell. The value obtained for the density of states at the Fermi level is 0.802 states/eV/atom. As for the space group: P6_3/m. As for the formation energy: 0.284 eV per atom.

8.
VASP calculation (PBE) on crystalline CrAs5 at its relaxed geometry.

Cell and atoms, written as POSCAR:
```
CrAs5
1.0
1.661 -7.596 0.000
1.661 7.596 0.000
0.000 0.000 4.574
Cr As
1 5
Direct
0.000 0.000 0.000 Cr
0.146 0.854 0.500 As
0.363 0.637 0.000 As
0.500 0.500 0.500 As
0.637 0.363 0.000 As
0.854 0.146 0.500 As
```

The total energy comes out at -31.06 eV/cell. The value obtained for the density of states at the Fermi level is 0.460 states/eV/atom. The energy above the most stable polymorph in this dataset is 122 meV/atom. As for the space group: Cmmm. As for the formation energy: 0.302 eV per atom.

9.
VASP calculation (PBE) on crystalline CrAs3 at its relaxed geometry.

Cell and atoms, written as POSCAR:
```
CrAs3
1.0
-1.910 1.910 5.014
1.910 -1.910 5.014
1.910 1.910 -5.014
Cr As
1 3
Direct
0.000 0.000 0.000 Cr
0.250 0.750 0.500 As
0.500 0.500 0.000 As
0.750 0.250 0.500 As
```

The total energy comes out at -22.16 eV/cell. The value obtained for the density of states at the Fermi level is 0.540 states/eV/atom. The energy above the most stable polymorph in this dataset is 358 meV/atom. As for the space group: I4/mmm. As for the formation energy: 0.352 eV per atom.

10.
VASP calculation (PBE) on crystalline CrAs3 at its relaxed geometry.

Cell and atoms, written as POSCAR:
```
CrAs3
1.0
3.081 0.000 0.000
0.000 3.081 0.000
0.000 0.000 6.831
Cr As
1 3
Direct
0.000 0.000 0.000 Cr
0.000 0.000 0.500 As
0.500 0.500 0.203 As
0.500 0.500 0.797 As
```

The total energy comes out at -22.81 eV/cell. The value obtained for the density of states at the Fermi level is 0.712 states/eV/atom. The energy above the most stable polymorph in this dataset is 197 meV/atom. As for the space group: P4/mmm. As for the formation energy: 0.190 eV per atom.

11.
VASP calculation (PBE) on crystalline CrAs3 at its relaxed geometry.

Cell and atoms, written as POSCAR:
```
CrAs3
1.0
4.649 0.000 0.000
0.000 4.649 0.000
0.000 0.000 3.313
Cr As
1 3
Direct
0.000 0.000 0.000 Cr
0.000 0.500 0.500 As
0.500 0.000 0.500 As
0.500 0.500 0.000 As
```

The total energy comes out at -22.19 eV/cell. The value obtained for the density of states at the Fermi level is 0.491 states/eV/atom. The energy above the most stable polymorph in this dataset is 353 meV/atom. As for the space group: P4/mmm. As for the formation energy: 0.346 eV per atom.

12.
VASP calculation (PBE) on crystalline Cr5As4 at its relaxed geometry.

Cell and atoms, written as POSCAR:
```
Cr5As4
1.0
7.580 0.000 0.000
-3.790 6.565 0.000
0.000 0.000 5.176
Cr As
10 8
Direct
0.000 0.298 0.250 Cr
0.000 0.702 0.750 Cr
0.298 0.000 0.250 Cr
0.298 0.298 0.750 Cr
0.333 0.667 0.000 Cr
0.333 0.667 0.500 Cr
0.667 0.333 0.000 Cr
0.667 0.333 0.500 Cr
0.702 0.000 0.750 Cr
0.702 0.702 0.250 Cr
0.000 0.000 0.000 As
0.000 0.000 0.500 As
0.000 0.382 0.750 As
0.000 0.618 0.250 As
0.382 0.000 0.750 As
0.382 0.382 0.250 As
0.618 0.000 0.250 As
0.618 0.618 0.750 As
```

The total energy comes out at -131.11 eV/cell. The value obtained for the density of states at the Fermi level is 0.925 states/eV/atom. As for the space group: P6_3/mcm. As for the formation energy: 0.129 eV per atom.

13.
VASP calculation (PBE) on crystalline CrAs at its relaxed geometry.

Cell and atoms, written as POSCAR:
```
CrAs
1.0
1.591 -4.422 0.000
1.591 4.422 0.000
0.000 0.000 4.122
Cr As
2 2
Direct
0.075 0.925 0.750 Cr
0.925 0.075 0.250 Cr
0.362 0.638 0.750 As
0.638 0.362 0.250 As
```

The total energy comes out at -28.47 eV/cell. The value obtained for the density of states at the Fermi level is 0.950 states/eV/atom. As for the space group: Cmcm. As for the formation energy: 0.019 eV per atom.

14.
VASP calculation (PBE) on crystalline CrAs3 at its relaxed geometry.

Cell and atoms, written as POSCAR:
```
CrAs3
1.0
5.837 0.000 0.000
-2.919 5.055 0.000
0.000 0.000 9.854
Cr As
4 12
Direct
0.000 0.000 0.000 Cr
0.000 0.000 0.500 Cr
0.333 0.667 0.250 Cr
0.667 0.333 0.750 Cr
0.000 0.500 0.000 As
0.000 0.500 0.500 As
0.155 0.310 0.750 As
0.155 0.845 0.750 As
0.310 0.155 0.250 As
0.500 0.000 0.000 As
0.500 0.000 0.500 As
0.500 0.500 0.000 As
0.500 0.500 0.500 As
0.690 0.845 0.750 As
0.845 0.155 0.250 As
0.845 0.690 0.250 As
```

The total energy comes out at -88.31 eV/cell. The value obtained for the density of states at the Fermi level is 0.676 states/eV/atom. The energy above the most stable polymorph in this dataset is 380 meV/atom. As for the space group: P6_3/mmc. As for the formation energy: 0.374 eV per atom.

15.
VASP calculation (PBE) on crystalline CsCrAs3 at its relaxed geometry.

Cell and atoms, written as POSCAR:
```
CsCrAs3
1.0
4.905 0.000 0.000
0.000 4.905 0.000
0.000 0.000 4.905
Cs Cr As
1 1 3
Direct
0.000 0.000 0.000 Cs
0.500 0.500 0.500 Cr
0.000 0.500 0.500 As
0.500 0.000 0.500 As
0.500 0.500 0.000 As
```

The total energy comes out at -23.46 eV/cell. The value obtained for the density of states at the Fermi level is 1.125 states/eV/atom. The energy above the most stable polymorph in this dataset is 0 meV/atom. As for the space group: Pm-3m. As for the formation energy: 0.193 eV per atom.

16.
VASP calculation (PBE) on crystalline CsCrAs at its relaxed geometry.

Cell and atoms, written as POSCAR:
```
CsCrAs
1.0
4.311 0.000 0.000
2.154 4.074 0.000
0.318 -0.165 12.819
Cs Cr As
2 2 2
Direct
0.160 0.222 0.215 Cs
0.840 0.778 0.785 Cs
0.393 0.719 0.474 Cr
0.607 0.281 0.526 Cr
0.161 0.162 0.604 As
0.839 0.838 0.396 As
```

The total energy comes out at -30.34 eV/cell. The value obtained for the density of states at the Fermi level is 0.511 states/eV/atom. The energy above the most stable polymorph in this dataset is 218 meV/atom. As for the space group: P-1. As for the formation energy: -0.015 eV per atom.

17.
VASP calculation (PBE) on crystalline Cs2CrAs2 at its relaxed geometry.

Cell and atoms, written as POSCAR:
```
Cs2CrAs2
1.0
-1.903 1.903 12.237
1.903 -1.903 12.237
1.903 1.903 -12.237
Cs Cr As
2 1 2
Direct
0.120 0.120 0.000 Cs
0.880 0.880 0.000 Cs
0.500 0.500 0.000 Cr
0.250 0.750 0.500 As
0.750 0.250 0.500 As
```

The total energy comes out at -15.62 eV/cell. The value obtained for the density of states at the Fermi level is 1.695 states/eV/atom. As for the space group: I4/mmm. As for the formation energy: 1.001 eV per atom.

18.
VASP calculation (PBE) on crystalline Cs3CrAs at its relaxed geometry.

Cell and atoms, written as POSCAR:
```
Cs3CrAs
1.0
6.828 0.000 0.000
0.000 6.828 0.000
0.000 0.000 6.828
Cs Cr As
3 1 1
Direct
0.000 0.000 0.500 Cs
0.000 0.500 0.000 Cs
0.500 0.000 0.000 Cs
0.000 0.000 0.000 Cr
0.500 0.500 0.500 As
```

The total energy comes out at -12.90 eV/cell. The value obtained for the density of states at the Fermi level is 1.046 states/eV/atom. As for the space group: Pm-3m. As for the formation energy: 0.787 eV per atom.

19.
VASP calculation (PBE) on crystalline CsCrAs at its relaxed geometry.

Cell and atoms, written as POSCAR:
```
CsCrAs
1.0
3.871 0.000 0.000
-1.367 3.624 0.000
-1.450 -0.671 13.447
Cs Cr As
2 2 2
Direct
0.004 0.191 0.310 Cs
0.996 0.809 0.690 Cs
0.357 0.616 0.955 Cr
0.643 0.384 0.045 Cr
0.272 0.802 0.117 As
0.728 0.198 0.883 As
```

The total energy comes out at -30.50 eV/cell. The value obtained for the density of states at the Fermi level is 0.039 states/eV/atom. The energy above the most stable polymorph in this dataset is 192 meV/atom. As for the space group: P-1. As for the formation energy: -0.041 eV per atom.

20.
VASP calculation (PBE) on crystalline CsCrAs3 at its relaxed geometry.

Cell and atoms, written as POSCAR:
```
CsCrAs3
1.0
5.678 0.000 0.000
0.000 5.678 0.000
0.000 0.000 5.678
Cs Cr As
1 1 3
Direct
0.000 0.000 0.000 Cs
0.500 0.500 0.500 Cr
0.000 0.000 0.500 As
0.000 0.500 0.000 As
0.500 0.000 0.000 As
```

The total energy comes out at -14.47 eV/cell. The value obtained for the density of states at the Fermi level is 0.958 states/eV/atom. The energy above the most stable polymorph in this dataset is 1798 meV/atom. As for the space group: Pm-3m. As for the formation energy: 1.991 eV per atom.

21.
VASP calculation (PBE) on crystalline CsCrAs at its relaxed geometry.

Cell and atoms, written as POSCAR:
```
CsCrAs
1.0
4.780 -5.693 0.000
4.780 5.693 0.000
-2.176 0.000 4.012
Cs Cr As
2 2 2
Direct
0.194 0.806 0.000 Cs
0.806 0.194 0.000 Cs
0.383 0.383 0.384 Cr
0.599 0.599 0.599 Cr
0.338 0.338 0.839 As
0.707 0.707 0.207 As
```

The total energy comes out at -29.41 eV/cell. The value obtained for the density of states at the Fermi level is 0.410 states/eV/atom. The energy above the most stable polymorph in this dataset is 374 meV/atom. As for the space group: Cm. As for the formation energy: 0.141 eV per atom.

22.
VASP calculation (PBE) on crystalline CsCrAs at its relaxed geometry.

Cell and atoms, written as POSCAR:
```
CsCrAs
1.0
4.225 0.000 0.000
0.000 4.225 0.000
0.000 0.000 12.187
Cs Cr As
2 2 2
Direct
0.250 0.250 0.218 Cs
0.750 0.750 0.782 Cs
0.250 0.750 0.500 Cr
0.750 0.250 0.500 Cr
0.250 0.250 0.605 As
0.750 0.750 0.395 As
```

The total energy comes out at -31.65 eV/cell. The value obtained for the density of states at the Fermi level is 0.577 states/eV/atom. The energy above the most stable polymorph in this dataset is 0 meV/atom. As for the space group: P4/nmm. As for the formation energy: -0.233 eV per atom.

23.
VASP calculation (PBE) on crystalline CsCrAs at its relaxed geometry.

Cell and atoms, written as POSCAR:
```
CsCrAs
1.0
4.319 0.000 0.000
2.159 3.996 0.000
2.147 0.776 12.943
Cs Cr As
2 2 2
Direct
0.000 0.000 0.000 Cs
0.436 0.548 0.584 Cs
0.037 0.657 0.272 Cr
0.792 0.096 0.323 Cr
0.202 0.196 0.403 As
0.620 0.569 0.193 As
```

The total energy comes out at -30.22 eV/cell. The value obtained for the density of states at the Fermi level is 0.527 states/eV/atom. The energy above the most stable polymorph in this dataset is 239 meV/atom. As for the space group: P1. As for the formation energy: 0.006 eV per atom.

24.
VASP calculation (PBE) on crystalline Cs2CrAs2 at its relaxed geometry.

Cell and atoms, written as POSCAR:
```
Cs2CrAs2
1.0
6.935 0.000 0.000
0.000 6.935 0.000
0.000 0.000 6.189
Cs Cr As
4 2 4
Direct
0.177 0.323 0.000 Cs
0.323 0.823 0.000 Cs
0.677 0.177 0.000 Cs
0.823 0.677 0.000 Cs
0.000 0.000 0.500 Cr
0.500 0.500 0.500 Cr
0.132 0.632 0.500 As
0.368 0.132 0.500 As
0.632 0.868 0.500 As
0.868 0.368 0.500 As
```

The total energy comes out at -41.36 eV/cell. The value obtained for the density of states at the Fermi level is 0.220 states/eV/atom. As for the space group: P4/mbm. As for the formation energy: -0.010 eV per atom.

25.
VASP calculation (PBE) on crystalline CsCrAsI6 at its relaxed geometry.

Cell and atoms, written as POSCAR:
```
CsCrAsI6
1.0
7.500 0.000 0.000
-3.750 6.495 0.000
0.000 0.000 8.758
Cs Cr As I
1 1 1 6
Direct
0.000 0.000 0.000 Cs
0.333 0.667 0.500 Cr
0.667 0.333 0.500 As
0.004 0.375 0.688 I
0.004 0.630 0.312 I
0.370 0.375 0.312 I
0.370 0.996 0.688 I
0.625 0.630 0.688 I
0.625 0.996 0.312 I
```

The total energy comes out at -28.91 eV/cell. The value obtained for the density of states at the Fermi level is 0.680 states/eV/atom. The formation energy (no corrections) is -498 meV/atom. As for the space group: P312.